1.
First-principles (GGA-PBE) data for a relaxed structure of Pm2Sm3Cd2, as listed in Alexandria via LeMat-Bulk.

Properties
Energy relative to the elements (eV per atom): -0.100
E (eV for the cell shown): -26.2
Fermi-level density of states (states/eV/f.u.): 8.17
Relative energy among the computed polymorphs (meV per atom): 54
Magnetic moment (μB per cell): 0.9

Unit cell a=3.642 b=3.606 c=16.621 alpha=90.00 beta=96.29 gamma=90.00
Site moments in Bohr magnetons follow the coordinates.
Atoms (fractional coordinates):
1 Pm 0.297 0.500 0.593  0.24
2 Pm 0.703 0.500 0.407  0.24
3 Sm 0.423 0.500 0.846  -0.01
4 Sm 0.577 0.500 0.154  -0.01
5 Sm 0.000 0.000 0.000  0.00
6 Cd 0.140 0.000 0.280  0.00
7 Cd 0.860 0.000 0.720  0.00

=====

2.
First-principles (GGA-PBE) data for a relaxed structure of Pm2Sm3Cd7, as listed in Alexandria via LeMat-Bulk.

Properties
Energy relative to the elements (eV per atom): -0.177
E (eV for the cell shown): -32.2
Fermi-level density of states (states/eV/f.u.): 10.75
Magnetic moment (μB per cell): 0.0

Unit cell a=5.357 b=5.141 c=12.602 alpha=101.77 beta=90.00 gamma=90.00
Atoms (fractional coordinates):
1 Pm 0.000 0.857 0.715
2 Pm 0.000 0.143 0.285
3 Sm 0.500 0.500 0.000
4 Sm 0.500 0.666 0.332
5 Sm 0.500 0.334 0.668
6 Cd 0.000 0.429 0.858
7 Cd 0.000 0.728 0.456
8 Cd 0.000 0.000 0.000
9 Cd 0.000 0.571 0.142
10 Cd 0.500 0.076 0.152
11 Cd 0.500 0.924 0.848
12 Cd 0.000 0.272 0.544

=====

3.
First-principles (GGA-PBE) data for a relaxed structure of Pm4SmCd, as listed in Alexandria via LeMat-Bulk.

Properties
Energy relative to the elements (eV per atom): 0.387
E (eV for the cell shown): -22.3
Fermi-level density of states (states/eV/f.u.): 10.14
Relative energy among the computed polymorphs (meV per atom): 483
Magnetic moment (μB per cell): 0.0

Unit cell a=5.373 b=5.375 c=7.637 alpha=89.96 beta=89.97 gamma=90.00
Atoms (fractional coordinates):
1 Pm 0.501 0.997 0.259
2 Pm 0.501 0.998 0.737
3 Pm 0.001 0.497 0.737
4 Pm 0.001 0.497 0.259
5 Sm 0.501 0.497 0.998
6 Cd 0.001 0.997 0.498

=====

4.
First-principles (GGA-PBE) data for a relaxed structure of PmSm7Cd2, as listed in Alexandria via LeMat-Bulk.

Properties
Energy relative to the elements (eV per atom): 0.389
E (eV for the cell shown): -35.7
Fermi-level density of states (states/eV/f.u.): 19.77
Magnetic moment (μB per cell): 0.0

Unit cell a=5.376 b=9.163 c=9.163 alpha=120.71 beta=90.00 gamma=90.00
Atoms (fractional coordinates):
1 Pm 0.000 0.000 0.000
2 Sm 0.000 0.774 0.226
3 Sm 0.000 0.226 0.774
4 Sm 0.500 0.065 0.301
5 Sm 0.500 0.935 0.699
6 Sm 0.500 0.301 0.065
7 Sm 0.500 0.699 0.935
8 Sm 0.500 0.500 0.500
9 Cd 0.500 0.696 0.304
10 Cd 0.500 0.304 0.696

=====

5.
First-principles (GGA-PBE) data for a relaxed structure of Pm3SmCd4, as listed in Alexandria via LeMat-Bulk.

Properties
Energy relative to the elements (eV per atom): -0.320
E (eV for the cell shown): -50.4
Fermi-level density of states (states/eV/f.u.): 9.16
Magnetic moment (μB per cell): 3.4

Unit cell a=5.389 b=7.720 c=10.777 alpha=90.00 beta=90.00 gamma=90.00
Site moments in Bohr magnetons follow the coordinates.
Atoms (fractional coordinates):
1 Cd 0.500 0.749 0.000  0.01
2 Cd 0.500 0.749 0.500  0.01
3 Cd 0.500 0.251 0.000  0.01
4 Cd 0.500 0.251 0.500  0.01
5 Cd 0.001 0.749 0.750  0.01
6 Cd 0.999 0.749 0.250  0.01
7 Cd 0.999 0.251 0.250  0.01
8 Cd 0.001 0.251 0.750  0.01
9 Sm 0.000 0.500 0.000  0.19
10 Sm 0.000 0.500 0.500  0.19
11 Pm 0.000 0.000 0.000  0.20
12 Pm 0.000 0.000 0.500  0.20
13 Pm 0.501 0.000 0.750  0.20
14 Pm 0.499 0.000 0.250  0.20
15 Pm 0.501 0.500 0.750  0.20
16 Pm 0.499 0.500 0.250  0.20

=====

6.
First-principles (GGA-PBE) data for a relaxed structure of Pm6SmCd, as listed in Alexandria via LeMat-Bulk.

Properties
Energy relative to the elements (eV per atom): 0.079
E (eV for the cell shown): -33.5
Fermi-level density of states (states/eV/f.u.): 11.41
Relative energy among the computed polymorphs (meV per atom): 111
Magnetic moment (μB per cell): 0.0

Unit cell a=6.724 b=6.724 c=9.466 alpha=110.90 beta=110.90 gamma=119.86
Atoms (fractional coordinates):
1 Pm 0.166 0.166 0.744
2 Pm 0.680 0.257 0.256
3 Pm 0.834 0.834 0.256
4 Pm 0.743 0.320 0.744
5 Pm 0.320 0.743 0.744
6 Pm 0.257 0.680 0.256
7 Sm 0.000 0.000 0.000
8 Cd 0.500 0.500 0.500

=====

7.
First-principles (GGA-PBE) data for a relaxed structure of Pm6SmCd2, as listed in Alexandria via LeMat-Bulk.

Properties
Energy relative to the elements (eV per atom): -0.066
E (eV for the cell shown): -71.3
Fermi-level density of states (states/eV/f.u.): 11.34
Relative energy among the computed polymorphs (meV per atom): 67
Magnetic moment (μB per cell): 0.0

Unit cell a=6.214 b=9.780 c=9.780 alpha=73.10 beta=85.23 gamma=85.23
Atoms (fractional coordinates):
1 Pm 0.491 0.681 0.433
2 Pm 0.009 0.567 0.319
3 Pm 0.509 0.319 0.567
4 Pm 0.991 0.433 0.681
5 Pm 0.664 0.099 0.352
6 Pm 0.836 0.648 0.901
7 Pm 0.336 0.901 0.648
8 Pm 0.164 0.352 0.099
9 Pm 0.312 0.732 0.031
10 Pm 0.188 0.969 0.268
11 Pm 0.688 0.268 0.969
12 Pm 0.812 0.031 0.732
13 Sm 0.250 0.104 0.896
14 Sm 0.750 0.896 0.104
15 Cd 0.407 0.540 0.789
16 Cd 0.093 0.211 0.460
17 Cd 0.593 0.460 0.211
18 Cd 0.907 0.789 0.540

=====

8.
First-principles (GGA-PBE) data for a relaxed structure of Pm2SmCd2, as listed in Alexandria via LeMat-Bulk.

Properties
Energy relative to the elements (eV per atom): -0.254
E (eV for the cell shown): -34.6
Fermi-level density of states (states/eV/f.u.): 6.06
Magnetic moment (μB per cell): 0.3

Unit cell a=5.471 b=3.807 c=14.182 alpha=82.26 beta=90.00 gamma=90.00
Site moments in Bohr magnetons follow the coordinates.
Atoms (fractional coordinates):
1 Pm 0.250 0.045 0.910  0.06
2 Pm 0.750 0.955 0.090  0.06
3 Pm 0.250 0.235 0.529  0.00
4 Pm 0.750 0.765 0.471  0.00
5 Sm 0.250 0.851 0.296  0.01
6 Sm 0.750 0.149 0.704  0.01
7 Cd 0.250 0.640 0.719  0.00
8 Cd 0.750 0.360 0.281  0.00
9 Cd 0.250 0.447 0.105  0.00
10 Cd 0.750 0.553 0.895  0.00